Ba2LaCd2: optimized geometry, PBE-GGA.

- ΔE to the lowest computed polymorph: 0.000 eV per atom
- Energy of formation: -119 meV/atom
- Theoretical density: 5.28 g/cm3
- Crystal system: tetragonal
- Fermi-level density of states: 6.32 states/eV/f.u.

Unit cell a=9.325 b=9.325 c=4.614 alpha=90.00 beta=90.00 gamma=90.00
Element x y z (fractional)
Ba: 0.836 0.336 0.500
La: 0.500 0.500 0.000
Cd: 0.868 0.632 0.000
La: 0.000 0.000 0.000
Cd: 0.632 0.132 0.000
Cd: 0.368 0.868 0.000
Ba: 0.664 0.836 0.500
Cd: 0.132 0.368 0.000
Ba: 0.336 0.164 0.500
Ba: 0.164 0.664 0.500

---

BaLa4Cd5: optimized geometry, PBE-GGA.

- Energy of formation: -323 meV/atom
- Theoretical density: 6.53 g/cm3
- Crystal system: tetragonal
- Fermi-level density of states: 11.67 states/eV/f.u.

Unit cell a=3.986 b=3.986 c=20.086 alpha=90.00 beta=90.00 gamma=90.00
Each line ends with the local moment (μB).
Element x y z (fractional)
Cd: 0.500 0.500 0.693  0.00
La: 0.000 0.000 0.403  -0.06
La: 0.000 0.000 0.789  0.05
Cd: 0.500 0.500 0.882  0.00
Ba: 0.000 0.000 0.000  0.00
La: 0.000 0.000 0.597  -0.06
Cd: 0.500 0.500 0.118  0.00
La: 0.000 0.000 0.211  0.05
Cd: 0.500 0.500 0.500  -0.01
Cd: 0.500 0.500 0.307  0.00

---

BaLa2Cd2: optimized geometry, PBE-GGA.

- ΔE to the lowest computed polymorph: 0.041 eV per atom
- Energy of formation: -155 meV/atom
- Theoretical density: 6.04 g/cm3
- Crystal system: tetragonal
- Fermi-level density of states: 7.62 states/eV/f.u.

Unit cell a=9.439 b=9.439 c=3.948 alpha=90.00 beta=90.00 gamma=90.00
Element x y z (fractional)
Cd: 0.875 0.625 0.000
Cd: 0.625 0.125 0.000
La: 0.665 0.835 0.500
La: 0.835 0.335 0.500
Ba: 0.500 0.500 0.000
La: 0.335 0.165 0.500
Cd: 0.125 0.375 0.000
Cd: 0.375 0.875 0.000
Ba: 0.000 0.000 0.000
La: 0.165 0.665 0.500

---

BaLa2Cd2: optimized geometry, PBE-GGA.

- ΔE to the lowest computed polymorph: 0.222 eV per atom
- Energy of formation: 27 meV/atom
- Theoretical density: 5.52 g/cm3
- Crystal system: tetragonal
- Fermi-level density of states: 5.87 states/eV/f.u.

Unit cell a=5.839 b=5.839 c=6.991 alpha=65.31 beta=65.31 gamma=90.00
Element x y z (fractional)
La: 0.636 0.636 0.728
La: 0.364 0.364 0.272
Cd: 0.250 0.750 0.500
Cd: 0.750 0.250 0.500
Ba: 0.000 0.000 0.000

---

Ba2LaCd3: optimized geometry, PBE-GGA.

- Energy of formation: -305 meV/atom
- Theoretical density: 5.85 g/cm3
- Crystal system: orthorhombic
- Fermi-level density of states: 4.81 states/eV/f.u.

Unit cell a=5.849 b=9.261 c=8.295 alpha=90.00 beta=89.99 gamma=71.59
Element x y z (fractional)
La: 0.665 0.670 0.000
Ba: 0.000 0.000 0.000
La: 0.335 0.330 0.000
Ba: 0.000 0.000 0.500
Ba: 0.666 0.668 0.500
Ba: 0.334 0.332 0.500
Cd: 0.825 0.350 0.781
Cd: 0.175 0.650 0.219
Cd: 0.500 0.000 0.767
Cd: 0.175 0.650 0.781
Cd: 0.825 0.350 0.219
Cd: 0.500 0.000 0.233

---

BaLa2Cd2: optimized geometry, PBE-GGA.

- ΔE to the lowest computed polymorph: 0.077 eV per atom
- Energy of formation: -119 meV/atom
- Theoretical density: 5.72 g/cm3
- Crystal system: tetragonal
- Fermi-level density of states: 9.78 states/eV/f.u.

Unit cell a=4.982 b=4.982 c=8.275 alpha=72.48 beta=72.48 gamma=90.00
Element x y z (fractional)
La: 0.250 0.750 0.500
La: 0.750 0.250 0.500
Cd: 0.598 0.598 0.803
Cd: 0.402 0.402 0.197
Ba: 0.000 0.000 0.000

---

BaLaCd2: optimized geometry, PBE-GGA.

- Energy of formation: -115 meV/atom
- Theoretical density: 5.87 g/cm3
- Crystal system: tetragonal
- Fermi-level density of states: 3.84 states/eV/f.u.

Unit cell a=4.182 b=4.182 c=8.100 alpha=90.00 beta=90.00 gamma=90.00
Each line ends with the local moment (μB).
Element x y z (fractional)
Cd: 0.500 0.500 0.240  0.00
La: 0.000 0.000 0.437  0.25
Ba: 0.500 0.500 0.790  0.10
Cd: 0.000 0.000 0.034  0.00

---

BaLaCd17: optimized geometry, PBE-GGA.

- Energy of formation: -187 meV/atom
- Theoretical density: 7.86 g/cm3
- Crystal system: trigonal
- Fermi-level density of states: 7.53 states/eV/f.u.

Unit cell a=7.792 b=7.792 c=7.792 alpha=82.46 beta=82.46 gamma=82.46
Element x y z (fractional)
Cd: 0.702 0.295 0.002
Cd: 0.104 0.104 0.104
Cd: 0.905 0.905 0.905
Cd: 0.992 0.992 0.509
Cd: 0.295 0.702 0.002
Cd: 0.351 0.855 0.351
Cd: 0.002 0.295 0.702
Cd: 0.635 0.635 0.176
La: 0.332 0.332 0.332
Cd: 0.509 0.992 0.992
Cd: 0.351 0.351 0.855
Cd: 0.855 0.351 0.351
Cd: 0.295 0.002 0.702
Ba: 0.664 0.664 0.664
Cd: 0.002 0.702 0.295
Cd: 0.992 0.509 0.992
Cd: 0.702 0.002 0.295
Cd: 0.176 0.635 0.635
Cd: 0.635 0.176 0.635

---

BaLa2Cd3: optimized geometry, PBE-GGA.

- Energy of formation: -320 meV/atom
- Theoretical density: 6.33 g/cm3
- Crystal system: tetragonal
- Fermi-level density of states: 5.65 states/eV/f.u.

Unit cell a=4.016 b=4.016 c=12.244 alpha=90.00 beta=90.00 gamma=90.00
Element x y z (fractional)
Cd: 0.000 0.000 0.693
Ba: 0.500 0.500 0.500
La: 0.500 0.500 0.844
La: 0.500 0.500 0.156
Cd: 0.000 0.000 0.307
Cd: 0.000 0.000 0.000

---

BaLa2Cd6: optimized geometry, PBE-GGA.

- Energy of formation: -271 meV/atom
- Theoretical density: 6.84 g/cm3
- Crystal system: orthorhombic
- Fermi-level density of states: 4.95 states/eV/f.u.

Unit cell a=3.697 b=9.309 c=9.309 alpha=57.92 beta=78.55 gamma=78.55
Element x y z (fractional)
Cd: 0.329 0.995 0.347
Cd: 0.671 0.653 0.005
Cd: 0.500 0.334 0.666
Cd: 0.671 0.005 0.653
La: 0.150 0.350 0.350
Cd: 0.500 0.666 0.334
Ba: 0.000 0.000 0.000
La: 0.850 0.650 0.650
Cd: 0.329 0.347 0.995

---

BaLaCd: optimized geometry, PBE-GGA.

- ΔE to the lowest computed polymorph: 0.000 eV per atom
- Energy of formation: -147 meV/atom
- Theoretical density: 5.42 g/cm3
- Crystal system: tetragonal
- Fermi-level density of states: 2.89 states/eV/f.u.

Unit cell a=7.711 b=7.712 c=4.079 alpha=74.65 beta=74.67 gamma=30.67
Element x y z (fractional)
Cd: 0.318 0.318 0.682
Ba: 0.980 0.980 0.020
La: 0.703 0.703 0.297

---

BaLaCd: optimized geometry, PBE-GGA.

- ΔE to the lowest computed polymorph: 0.236 eV per atom
- Energy of formation: 90 meV/atom
- Theoretical density: 4.99 g/cm3
- Crystal system: cubic
- Fermi-level density of states: 5.97 states/eV/f.u.

Unit cell a=5.675 b=5.675 c=5.675 alpha=60.00 beta=60.00 gamma=60.00
Element x y z (fractional)
Cd: 0.750 0.750 0.750
La: 0.000 0.000 0.000
Ba: 0.500 0.500 0.500